# 1
The following is a PBE calculation of AlRe4P after structural relaxation, from Alexandria via LeMat-Bulk.

Lattice parameters (Å, degrees): 7.336 7.336 7.336 90.00 90.00 90.00
Space group F-43m (No. 216)
Unique sites:
Al1 0.000 0.000 0.000
Re1 0.124 0.124 0.376
P1 0.250 0.250 0.750

Values from the calculation:
- Energy relative to the elements: 0.65 eV per atom

# 2
The following is a PBE calculation of Dy3Y5Er2 after structural relaxation, from Alexandria via LeMat-Bulk.

Lattice parameters (Å, degrees): 10.834 17.769 6.811 90.00 90.00 90.00
Space group Ibam (No. 72)
Unique sites:
Dy1 0.000 0.000 0.250
Dy2 0.204 0.333 0.000
Y1 0.000 0.183 0.250
Y2 0.000 0.500 0.250
Y3 0.115 0.329 0.500
Er1 0.235 0.022 0.000

Values from the calculation:
- Energy relative to the elements: 0.27 eV per atom
- E above lowest polymorph: 79 meV per atom

Size of the total moment
In order: 0.01, 0.01
Unit: μB per cell
DFT total energy
In order: -9.173, -5.253
Unit: eV/atom
DOS(E_F)
In order: 2.58, 15.54
Unit: states/eV/f.u.